AuSeBr3 | the Alexandria database | PBE | optimized geometry; E above lowest polymorph = 71 meV per atom; space group = P2/c (13); formation energy (no corrections) = -66 meV per atom
1.0
7.7964 0.0000 0.0000
0.0000 6.9470 0.0000
-2.0532 0.0000 14.2166
Au Se Br
4 4 12
direct
0.1055 0.0468 0.3919
0.1055 0.9532 0.8919
0.8945 0.0468 0.1081
0.8945 0.9532 0.6081
0.0455 0.2832 0.8285
0.0455 0.7168 0.3285
0.9545 0.2832 0.6715
0.9545 0.7168 0.1715
0.1781 0.1961 0.1609
0.1781 0.8039 0.6609
0.2096 0.3290 0.4912
0.2096 0.6710 0.9912
0.3765 0.1467 0.9193
0.3765 0.8533 0.4193
0.6235 0.1467 0.5807
0.6235 0.8533 0.0807
0.7904 0.3290 0.0088
0.7904 0.6710 0.5088
0.8219 0.1961 0.3391
0.8219 0.8039 0.8391

K3HgBi2 | the Alexandria database | PBE | optimized geometry; ΔE_f = -1.943 eV per formula unit; space group = P2_1/c (14)
1.0
7.9927 0.0000 0.0000
0.0000 13.7731 0.0000
-1.9965 0.0000 8.7028
K Hg Bi
12 4 8
direct
0.0959 0.0662 0.3194
0.0959 0.4338 0.8194
0.2908 0.5464 0.4991
0.2908 0.9536 0.9991
0.3871 0.2096 0.6710
0.3871 0.2904 0.1710
0.6129 0.7096 0.8290
0.6129 0.7904 0.3290
0.7092 0.0464 0.0009
0.7092 0.4536 0.5009
0.9041 0.5662 0.1806
0.9041 0.9338 0.6806
0.1443 0.6889 0.9369
0.1443 0.8111 0.4369
0.8557 0.1889 0.5631
0.8557 0.3111 0.0631
0.0367 0.1759 0.8896
0.0367 0.3241 0.3896
0.4236 0.5638 0.1160
0.4236 0.9362 0.6160
0.5764 0.0638 0.3840
0.5764 0.4362 0.8840
0.9633 0.6759 0.6104
0.9633 0.8241 0.1104

| no. | total magnetic moment (Bohr magnetons per cell) |
| --- | --- |
| 1 | 0.00 |
| 2 | 0.00 |